(1)
# CaCl, relaxed, DFT PBE
# crystal system	orthorhombic
# V	31.924	Å³/atom
# formation energy from raw total energies	-1.649	eV/atom
data_CaCl
_cell_length_a 3.631
_cell_length_b 19.347
_cell_length_c 3.636
_cell_angle_alpha 90.00
_cell_angle_beta 90.00
_cell_angle_gamma 90.00
_symmetry_space_group_name_H-M 'C m c m'
_symmetry_Int_Tables_number 63
_symmetry_space_group_name_Hall '-C 2c 2'
loop_
_atom_site_label
_atom_site_fract_x
_atom_site_fract_y
_atom_site_fract_z
Ca1 0.000 0.169 0.250
Cl1 0.000 0.400 0.250

***

(2)
# CaCl, relaxed, DFT PBE
# crystal system	monoclinic
# V	29.630	Å³/atom
# formation energy from raw total energies	-1.650	eV/atom
data_CaCl
_cell_length_a 3.651
_cell_length_b 3.651
_cell_length_c 8.889
_cell_angle_alpha 90.00
_cell_angle_beta 90.06
_cell_angle_gamma 90.00
_symmetry_space_group_name_H-M 'P 1 21/m 1'
_symmetry_Int_Tables_number 11
loop_
_symmetry_equiv_pos_as_xyz
'x,y,z'
'-x,-y,-z'
'-x,y+1/2,-z'
'x,-y+1/2,z'
loop_
_atom_site_label
_atom_site_fract_x
_atom_site_fract_y
_atom_site_fract_z
Ca1 0.249 0.250 0.177
Cl1 0.250 0.250 0.676

***

(3)
# CaCl3, relaxed, DFT PBE
# crystal system	cubic
# V	40.375	Å³/atom
# formation energy from raw total energies	-1.478	eV/atom
data_CaCl3
_cell_length_a 5.446
_cell_length_b 5.446
_cell_length_c 5.446
_cell_angle_alpha 90.00
_cell_angle_beta 90.00
_cell_angle_gamma 90.00
_symmetry_space_group_name_H-M 'P m -3 m'
_symmetry_Int_Tables_number 221
_symmetry_space_group_name_Hall '-P 4 2 3'
loop_
_atom_site_label
_atom_site_fract_x
_atom_site_fract_y
_atom_site_fract_z
Ca1 0.000 0.000 0.000
Cl1 0.000 0.000 0.500

***

(4)
# CaCl, relaxed, DFT PBE
# crystal system	tetragonal
# V	32.642	Å³/atom
# formation energy from raw total energies	-1.403	eV/atom
data_CaCl
_cell_length_a 4.014
_cell_length_b 4.014
_cell_length_c 4.051
_cell_angle_alpha 90.00
_cell_angle_beta 90.00
_cell_angle_gamma 90.00
_symmetry_space_group_name_H-M 'P 4/m m m'
_symmetry_Int_Tables_number 123
_symmetry_space_group_name_Hall '-P 4 2'
loop_
_atom_site_label
_atom_site_fract_x
_atom_site_fract_y
_atom_site_fract_z
Ca1 0.000 0.000 0.000
Cl1 0.500 0.500 0.000

***

(5)
# Ca2Cl, relaxed, DFT PBE
# crystal system	cubic
# V	31.808	Å³/atom
# formation energy from raw total energies	-0.548	eV/atom
data_Ca2Cl
_cell_length_a 7.254
_cell_length_b 7.254
_cell_length_c 7.254
_cell_angle_alpha 90.00
_cell_angle_beta 90.00
_cell_angle_gamma 90.00
_symmetry_space_group_name_H-M 'F m -3 m'
_symmetry_Int_Tables_number 225
_symmetry_space_group_name_Hall '-F 4 2 3'
loop_
_atom_site_label
_atom_site_fract_x
_atom_site_fract_y
_atom_site_fract_z
Ca1 0.250 0.250 0.250
Cl1 0.000 0.000 0.000

***

(6)
# Ca2Cl, relaxed, DFT PBE
# crystal system	orthorhombic
# V	33.904	Å³/atom
# formation energy from raw total energies	-0.999	eV/atom
data_Ca2Cl
_cell_length_a 7.926
_cell_length_b 3.803
_cell_length_c 13.495
_cell_angle_alpha 90.00
_cell_angle_beta 90.00
_cell_angle_gamma 90.00
_symmetry_space_group_name_H-M 'P n m a'
_symmetry_Int_Tables_number 62
loop_
_symmetry_equiv_pos_as_xyz
'x,y,z'
'-x,-y,-z'
'-x+1/2,-y,z+1/2'
'x+1/2,y,-z+1/2'
'x+1/2,-y+1/2,-z+1/2'
'-x+1/2,y+1/2,z+1/2'
'-x,y+1/2,-z'
'x,-y+1/2,z'
loop_
_atom_site_label
_atom_site_fract_x
_atom_site_fract_y
_atom_site_fract_z
Ca1 0.015 0.250 0.249
Ca2 0.219 0.750 0.470
Cl1 0.087 0.750 0.091